1.
Ca2AcEr | GGA-PBE | relaxed

Calculated values
* SG: P4/mmm, No. 123
* size of the total moment: 0.00 μB/atom
* uncorrected energy: -12.15 eV for the cell shown
* energy above the most stable polymorph in this dataset: 25.7 meV/atom
* ρ: 5.09 g cm⁻³
* calculated formation energy: 0.132 eV/atom

Structure (POSCAR):
```
Ca2AcEr
1.0
-4.000 -0.156 -1.391
0.233 -4.227 -0.198
-2.808 -0.536 8.132
Er Ac Ca
1 1 2
direct
0.500 0.500 0.500
0.500 0.500 0.000
0.000 0.000 0.728
0.000 0.000 0.272
```

2.
Tl2CrAgP | GGA-PBE | relaxed

Calculated values
* SG: P4/mmm, No. 123
* size of the total moment: 0.75 μB/atom
* uncorrected energy: -19.94 eV for the cell shown
* ρ: 7.32 g cm⁻³
* calculated formation energy: 0.536 eV/atom

Structure (POSCAR):
```
Tl2CrAgP
1.0
-3.168 -0.408 4.469
0.108 -4.493 -0.334
4.486 -0.128 3.168
Tl P Ag Cr
2 1 1 1
direct
0.000 0.000 0.500
0.500 0.000 0.000
0.000 0.000 0.000
0.500 0.500 0.500
0.000 0.500 0.000
```

3.
KLiCl2F8 | GGA-PBE | relaxed

Calculated values
* SG: P-3, No. 147
* size of the total moment: 0.33 μB/atom
* uncorrected energy: -33.42 eV for the cell shown
* energy relative to the elements, uncorrected: -0.98 eV per atom
* ρ: 2.32 g cm⁻³

Structure (POSCAR):
```
KLiCl2F8
1.0
-4.522 1.564 1.810
0.382 -4.516 -2.374
1.668 -3.755 7.412
Cl Li F K
2 1 8 1
direct
0.667 0.333 0.215
0.333 0.667 0.785
0.000 0.000 0.500
0.333 0.667 0.015
0.348 0.299 0.354
0.652 0.701 0.646
0.951 0.652 0.354
0.299 0.951 0.646
0.049 0.348 0.646
0.667 0.333 0.985
0.701 0.049 0.354
0.000 0.000 0.000
```

> Look up the size of the total moment of the first one.

0.00 μB/atom

> Among the records above, which one has the highest ρ?

Tl2CrAgP

Repeat the third record exactly.
KLiCl2F8 | GGA-PBE | relaxed

Calculated values
* SG: P-3, No. 147
* size of the total moment: 0.33 μB/atom
* uncorrected energy: -33.42 eV for the cell shown
* energy relative to the elements, uncorrected: -0.98 eV per atom
* ρ: 2.32 g cm⁻³

Structure (POSCAR):
```
KLiCl2F8
1.0
-4.522 1.564 1.810
0.382 -4.516 -2.374
1.668 -3.755 7.412
Cl Li F K
2 1 8 1
direct
0.667 0.333 0.215
0.333 0.667 0.785
0.000 0.000 0.500
0.333 0.667 0.015
0.348 0.299 0.354
0.652 0.701 0.646
0.951 0.652 0.354
0.299 0.951 0.646
0.049 0.348 0.646
0.667 0.333 0.985
0.701 0.049 0.354
0.000 0.000 0.000
```